DFT (GGA-PBE) results for PrDyMgGe after structural relaxation.

Properties
Crystal system ... cubic
Energy of formation ... -0.356 eV/atom

```
data_PrDyMgGe
_symmetry_space_group_name_H-M 'F -4 3 m'
_symmetry_Int_Tables_number 216
_symmetry_space_group_name_Hall 'F -4 2 3'
_cell_length_a 7.3977
_cell_length_b 7.3977
_cell_length_c 7.3977
_cell_angle_alpha 90.00
_cell_angle_beta 90.00
_cell_angle_gamma 90.00
loop_
_atom_site_label
_atom_site_type_symbol
_atom_site_fract_x
_atom_site_fract_y
_atom_site_fract_z
_atom_site_occupancy
Pr1 Pr 0.0000 0.0000 0.0000 1
Dy1 Dy 0.0000 0.0000 0.5000 1
Mg1 Mg 0.2500 0.2500 0.7500 1
Ge1 Ge 0.2500 0.2500 0.2500 1
```

***

DFT (GGA-PBE) results for LiZnPO4 after structural relaxation.

Properties
E above lowest polymorph ... 10 meV/atom
Raw formation energy ... -2135 meV/atom
Crystal system ... tetragonal

```
data_LiZnPO4
_symmetry_space_group_name_H-M 'I -4'
_symmetry_Int_Tables_number 82
_cell_length_a 4.7955
_cell_length_b 4.7955
_cell_length_c 7.5271
_cell_angle_alpha 90.00
_cell_angle_beta 90.00
_cell_angle_gamma 90.00
loop_
_symmetry_equiv_pos_as_xyz
'x,y,z'
'y,-x,-z'
'-x,-y,z'
'-y,x,-z'
'x+1/2,y+1/2,z+1/2'
'y+1/2,-x+1/2,-z+1/2'
'-x+1/2,-y+1/2,z+1/2'
'-y+1/2,x+1/2,-z+1/2'
loop_
_atom_site_label
_atom_site_type_symbol
_atom_site_fract_x
_atom_site_fract_y
_atom_site_fract_z
_atom_site_occupancy
Li1 Li 0.0000 0.0000 0.0000 1
Zn1 Zn 0.0000 0.0000 0.5000 1
P1 P 0.0000 0.5000 0.7500 1
O1 O 0.1856 0.3078 0.6325 1
```

***

DFT (GGA-PBE) results for Au2SeCl after structural relaxation.

Properties
E above lowest polymorph ... 85 meV/atom
Raw formation energy ... 62 meV/atom
Crystal system ... orthorhombic

```
data_Au2SeCl
_symmetry_space_group_name_H-M 'C m m 2'
_symmetry_Int_Tables_number 35
_cell_length_a 4.0083
_cell_length_b 7.5058
_cell_length_c 7.7565
_cell_angle_alpha 90.00
_cell_angle_beta 90.00
_cell_angle_gamma 90.00
loop_
_symmetry_equiv_pos_as_xyz
'x,y,z'
'-x,-y,z'
'-x,y,z'
'x,-y,z'
'x+1/2,y+1/2,z'
'-x+1/2,-y+1/2,z'
'-x+1/2,y+1/2,z'
'x+1/2,-y+1/2,z'
loop_
_atom_site_label
_atom_site_type_symbol
_atom_site_fract_x
_atom_site_fract_y
_atom_site_fract_z
_atom_site_occupancy
Au1 Au 0.0000 0.0000 0.0000 1
Au2 Au 0.0000 0.5000 0.2292 1
Se1 Se 0.0000 0.0000 0.4024 1
Cl1 Cl 0.0000 0.5000 0.8112 1
```

***

DFT (GGA-PBE) results for Pr2GaBPt6 after structural relaxation.

Properties
Crystal system ... tetragonal
Energy of formation ... -0.843 eV/atom

```
data_Pr2GaBPt6
_symmetry_space_group_name_H-M 'I 4 m m'
_symmetry_Int_Tables_number 107
_symmetry_space_group_name_Hall 'I 4 -2'
_cell_length_a 5.8811
_cell_length_b 5.8811
_cell_length_c 10.6658
_cell_angle_alpha 90.00
_cell_angle_beta 90.00
_cell_angle_gamma 90.00
loop_
_atom_site_label
_atom_site_type_symbol
_atom_site_fract_x
_atom_site_fract_y
_atom_site_fract_z
_atom_site_occupancy
Pr1 Pr 0.0000 0.5000 0.0000 1
Ga1 Ga 0.0000 0.0000 0.1456 1
B1 B 0.0000 0.0000 0.6434 1
Pt1 Pt 0.0000 0.0000 0.4438 1
Pt2 Pt 0.0000 0.0000 0.9255 1
Pt3 Pt 0.2370 0.2370 0.7479 1
```

***

DFT (GGA-PBE) results for CaSbAs2 after structural relaxation.

Properties
Raw formation energy ... -261 meV/atom
Crystal system ... tetragonal

```
data_CaSbAs2
_symmetry_space_group_name_H-M 'I -4 2 d'
_symmetry_Int_Tables_number 122
_symmetry_space_group_name_Hall 'I -4 2bw'
_cell_length_a 6.6290
_cell_length_b 6.6290
_cell_length_c 12.5991
_cell_angle_alpha 90.00
_cell_angle_beta 90.00
_cell_angle_gamma 90.00
loop_
_atom_site_label
_atom_site_type_symbol
_atom_site_fract_x
_atom_site_fract_y
_atom_site_fract_z
_atom_site_occupancy
Ca1 Ca 0.0000 0.0000 0.0000 1
Sb1 Sb 0.0000 0.0000 0.5000 1
As1 As 0.2224 0.2500 0.6250 1
```

***

DFT (GGA-PBE) results for Dy2ZrNbN4 after structural relaxation.

Properties
Raw formation energy ... -1534 meV/atom
Crystal system ... monoclinic

```
data_Dy2ZrNbN4
_symmetry_space_group_name_H-M 'P 1 2/m 1'
_symmetry_Int_Tables_number 10
_cell_length_a 5.7223
_cell_length_b 3.2966
_cell_length_c 5.7934
_cell_angle_alpha 90.00
_cell_angle_beta 109.25
_cell_angle_gamma 90.00
loop_
_symmetry_equiv_pos_as_xyz
'x,y,z'
'-x,-y,-z'
'-x,y,-z'
'x,-y,z'
loop_
_atom_site_label
_atom_site_type_symbol
_atom_site_fract_x
_atom_site_fract_y
_atom_site_fract_z
_atom_site_occupancy
Dy1 Dy 0.0000 0.0000 0.0000 1
Dy2 Dy 0.5000 0.5000 0.0000 1
Zr1 Zr 0.0000 0.5000 0.5000 1
Nb1 Nb 0.5000 0.0000 0.5000 1
N1 N 0.2453 0.0000 0.7325 1
N2 N 0.2594 0.5000 0.2697 1
```

***

no.,raw total energy (eV/atom)
1,-4.255
2,-6.196
3,-2.909
4,-6.394
5,-4.117
6,-9.175